# 1
Density functional theory data (PBE) for MgGa3Pt3 after structural relaxation.

Cell lengths 7.7069, 7.7069, 7.7069 Å; angles 90.00, 90.00, 90.00 degrees
Last column: nearest neighbours and their distance in Å.
Fractional positions:
Mg 0.0539 0.5539 0.9461  6 Pt 2.80-2.87, 4 Ga 2.88-2.95
Mg 0.9461 0.0539 0.5539  6 Pt 2.80-2.87, 4 Ga 2.88-2.95
Mg 0.4461 0.4461 0.4461  6 Pt 2.80-2.87, 4 Ga 2.88-2.95
Mg 0.5539 0.9461 0.0539  6 Pt 2.80-2.87, 4 Ga 2.88-2.95
Ga 0.8328 0.3328 0.1672  6 Pt 2.65-2.66, 4 Ga 2.72-2.97, 1 Mg 2.95
Ga 0.8709 0.8709 0.8709  6 Pt 2.64-2.71, 1 Ga 2.72, 3 Mg 2.88
Ga 0.8097 0.6903 0.3097  6 Pt 2.58-2.74
Ga 0.1672 0.8328 0.3328  6 Pt 2.65-2.66, 4 Ga 2.72-2.97, 1 Mg 2.95
Ga 0.1903 0.1903 0.1903  6 Pt 2.58-2.74
Ga 0.3097 0.8097 0.6903  6 Pt 2.58-2.74
Ga 0.1291 0.3709 0.6291  6 Pt 2.64-2.71, 1 Ga 2.72, 3 Mg 2.88
Ga 0.3328 0.1672 0.8328  6 Pt 2.65-2.66, 4 Ga 2.72-2.97, 1 Mg 2.95
Ga 0.6903 0.3097 0.8097  6 Pt 2.58-2.74
Ga 0.6672 0.6672 0.6672  6 Pt 2.65-2.66, 4 Ga 2.72-2.97, 1 Mg 2.95
Ga 0.6291 0.1291 0.3709  6 Pt 2.64-2.71, 1 Ga 2.72, 3 Mg 2.88
Ga 0.3709 0.6291 0.1291  6 Pt 2.64-2.71, 1 Ga 2.72, 3 Mg 2.88
Pt 0.6987 0.6063 0.0047  6 Ga 2.58-2.74, 2 Mg 2.80-2.87
Pt 0.8937 0.9953 0.1987  6 Ga 2.58-2.74, 2 Mg 2.80-2.87
Pt 0.0047 0.6987 0.6063  6 Ga 2.58-2.74, 2 Mg 2.80-2.87
Pt 0.1063 0.4953 0.3013  6 Ga 2.58-2.74, 2 Mg 2.80-2.87
Pt 0.3013 0.1063 0.4953  6 Ga 2.58-2.74, 2 Mg 2.80-2.87
Pt 0.1987 0.8937 0.9953  6 Ga 2.58-2.74, 2 Mg 2.80-2.87
Pt 0.9953 0.1987 0.8937  6 Ga 2.58-2.74, 2 Mg 2.80-2.87
Pt 0.3937 0.5047 0.8013  6 Ga 2.58-2.74, 2 Mg 2.80-2.87
Pt 0.4953 0.3013 0.1063  6 Ga 2.58-2.74, 2 Mg 2.80-2.87
Pt 0.6063 0.0047 0.6987  6 Ga 2.58-2.74, 2 Mg 2.80-2.87
Pt 0.8013 0.3937 0.5047  6 Ga 2.58-2.74, 2 Mg 2.80-2.87
Pt 0.5047 0.8013 0.3937  6 Ga 2.58-2.74, 2 Mg 2.80-2.87

Computed properties:
- calculated formation energy (eV per atom) = -0.600
- offset from the most stable computed form (meV/atom) = 73

***

# 2
Density functional theory data (PBE) for In2GeW2 after structural relaxation.

Cell lengths 6.5711, 6.5711, 4.5221 Å; angles 90.00, 90.00, 90.00 degrees
Last column: nearest neighbours and their distance in Å.
Fractional positions:
Ge 0.0000 0.0000 0.0000  4 W 2.55
Ge 0.5000 0.5000 0.0000  4 W 2.55
W 0.3641 0.8641 0.0000  1 W 2.53, 2 Ge 2.55
W 0.8641 0.6359 0.0000  1 W 2.53, 2 Ge 2.55
W 0.6359 0.1359 0.0000  1 W 2.53, 2 Ge 2.55
W 0.1359 0.3641 0.0000  1 W 2.53, 2 Ge 2.55
In 0.1669 0.6669 0.5000  6 W 2.91-3.02, 1 In 3.10
In 0.6669 0.8331 0.5000  6 W 2.91-3.02, 1 In 3.10
In 0.8331 0.3331 0.5000  6 W 2.91-3.02, 1 In 3.10
In 0.3331 0.1669 0.5000  6 W 2.91-3.02, 1 In 3.10

Computed properties:
- calculated formation energy (eV per atom) = 0.423
- offset from the most stable computed form (meV/atom) = 0

***

# 3
Density functional theory data (PBE) for PmPr4Y6 after structural relaxation.

Cell lengths 3.5745, 11.1343, 11.1343 Å; angles 120.00, 90.00, 90.00 degrees
Last column: nearest neighbours and their distance in Å.
Fractional positions:
Pm 0.0000 0.0000 0.0000  2 Pm 3.57, 6 Y 3.71
Pr 0.5000 0.8023 0.6046  6 Y 3.50-3.57, 2 Pr 3.57
Pr 0.5000 0.3954 0.1977  6 Y 3.50-3.57, 2 Pr 3.57
Pr 0.5000 0.8023 0.1977  6 Y 3.50-3.57, 2 Pr 3.57
Pr 0.0000 0.3333 0.6667  3 Y 3.14
Y 0.0000 0.4961 0.9923  5 Pr 3.14-3.50
Y 0.5000 0.6627 0.8313  4 Pr 3.57-3.64, 6 Y 3.57-3.63, 2 Pm 3.71
Y 0.0000 0.4961 0.5039  5 Pr 3.14-3.50
Y 0.0000 0.0077 0.5039  5 Pr 3.14-3.50
Y 0.5000 0.1687 0.8313  4 Pr 3.57-3.64, 6 Y 3.57-3.63, 2 Pm 3.71
Y 0.5000 0.1687 0.3373  4 Pr 3.57-3.64, 6 Y 3.57-3.63, 2 Pm 3.71

Computed properties:
- calculated formation energy (eV per atom) = 0.156
- offset from the most stable computed form (meV/atom) = 49

***

Copy entry 3 word for word.
Density functional theory data (PBE) for PmPr4Y6 after structural relaxation.

Cell lengths 3.5745, 11.1343, 11.1343 Å; angles 120.00, 90.00, 90.00 degrees
Last column: nearest neighbours and their distance in Å.
Fractional positions:
Pm 0.0000 0.0000 0.0000  2 Pm 3.57, 6 Y 3.71
Pr 0.5000 0.8023 0.6046  6 Y 3.50-3.57, 2 Pr 3.57
Pr 0.5000 0.3954 0.1977  6 Y 3.50-3.57, 2 Pr 3.57
Pr 0.5000 0.8023 0.1977  6 Y 3.50-3.57, 2 Pr 3.57
Pr 0.0000 0.3333 0.6667  3 Y 3.14
Y 0.0000 0.4961 0.9923  5 Pr 3.14-3.50
Y 0.5000 0.6627 0.8313  4 Pr 3.57-3.64, 6 Y 3.57-3.63, 2 Pm 3.71
Y 0.0000 0.4961 0.5039  5 Pr 3.14-3.50
Y 0.0000 0.0077 0.5039  5 Pr 3.14-3.50
Y 0.5000 0.1687 0.8313  4 Pr 3.57-3.64, 6 Y 3.57-3.63, 2 Pm 3.71
Y 0.5000 0.1687 0.3373  4 Pr 3.57-3.64, 6 Y 3.57-3.63, 2 Pm 3.71

Computed properties:
- calculated formation energy (eV per atom) = 0.156
- offset from the most stable computed form (meV/atom) = 49